# RbTb2Cl6 (PBE-GGA, relaxed)
# VASP energy: -4.4605 eV per atom
# ρ: 3.2 Mg/m³
# raw formation energy: -2.09 eV/atom
data_RbTb2Cl6
_chemical_formula_sum 'Rb1 Tb2 Cl6'
_symmetry_space_group_name_H-M 'P -3 1 m'
_symmetry_Int_Tables_number 162
_symmetry_space_group_name_Hall '-P 3 2'
_cell_length_a 6.8804
_cell_length_b 6.8804
_cell_length_c 7.6782
_cell_angle_alpha 90.00
_cell_angle_beta 90.00
_cell_angle_gamma 120.00
loop_
_atom_site_label
_atom_site_type_symbol
_atom_site_fract_x
_atom_site_fract_y
_atom_site_fract_z
_atom_site_occupancy
Rb1 Rb 0.0000 0.0000 0.0000 1
Tb1 Tb 0.3333 0.6667 0.5000 1
Cl1 Cl 0.0000 0.3606 0.7055 1